Entry 1:
Below is a relaxed structure of Pm2Pr2Mg3, with properties calculated at the PBE level.

Computed properties:
- final energy (eV/atom) = -3.421
- crystal system = orthorhombic

Geometry as extended XYZ:
```
7
Lattice="1.971 -14.247 0.000 1.971 14.247 0.000 0.000 0.000 3.830" Properties=species:S:1:pos:R:3 pbc="T T T"
Pm 1.971 8.508 0.000
Pm 1.971 -8.508 0.000
Pr 1.971 12.266 0.000
Pr 1.971 -12.266 0.000
Mg 1.971 3.882 1.915
Mg 1.971 0.000 1.915
Mg 1.971 -3.882 1.915
```

=====

Entry 2:
Below is a relaxed structure of Nd4HgAs2Se, with properties calculated at the PBE level.

Computed properties:
- E_form (uncorrected) (meV per atom) = -1321.6
- crystal system = monoclinic

Geometry as extended XYZ:
```
8
Lattice="7.435 0.000 0.000 0.000 4.252 0.000 -2.399 0.000 7.143" Properties=species:S:1:pos:R:3 pbc="T T T"
Nd 1.171 0.000 1.668
Nd -0.052 2.126 5.370
Nd 5.088 2.126 1.773
Nd 3.865 0.000 5.475
Hg 2.518 2.126 3.572
As -1.199 0.000 3.572
As 0.000 2.126 0.000
Se 3.717 0.000 0.000
```

=====

Entry 3:
Below is a relaxed structure of CePm2Eu, with properties calculated at the PBE level.

Computed properties:
- offset from the most stable computed form (meV per atom) = 172.2
- crystal system = cubic

Geometry as extended XYZ:
```
4
Lattice="0.000 4.143 4.143 4.143 0.000 4.143 4.143 4.143 0.000" Properties=species:S:1:pos:R:3 pbc="T T T"
Ce 0.000 0.000 0.000
Pm 2.072 2.072 2.072
Pm 6.215 6.215 6.215
Eu 4.143 4.143 4.143
```

=====

Entry 4:
Below is a relaxed structure of LaDy4Tm2Sc, with properties calculated at the PBE level.

Computed properties:
- final energy (eV/atom) = -4.398
- crystal system = monoclinic

Geometry as extended XYZ:
```
16
Lattice="6.681 -6.530 0.000 6.681 6.530 0.000 -3.381 0.000 5.810" Properties=species:S:1:pos:R:3 pbc="T T T"
La 0.000 0.000 0.000
La -1.691 0.000 2.905
Dy 1.660 0.083 2.906
Dy 4.965 3.251 2.940
Dy 3.326 3.251 5.776
Dy 3.351 -0.083 0.001
Dy 6.630 0.083 5.810
Dy 6.655 -3.251 0.034
Dy 5.016 -3.251 2.871
Dy 8.321 -0.083 2.904
Tm 3.341 3.265 0.000
Tm 1.650 -3.265 2.905
Tm 6.681 0.000 0.000
Tm 4.990 0.000 2.905
Sc 1.650 3.265 2.905
Sc 3.341 -3.265 0.000
```

=====

Entry 5:
Below is a relaxed structure of Li2HfPdI, with properties calculated at the PBE level.

Computed properties:
- E_form (uncorrected) (meV per atom) = 52.3
- crystal system = tetragonal

Geometry as extended XYZ:
```
5
Lattice="4.833 0.000 0.000 0.000 4.833 0.000 0.000 0.000 5.039" Properties=species:S:1:pos:R:3 pbc="T T T"
Li 0.000 2.417 0.000
Li 2.417 0.000 0.000
Hf 0.000 0.000 2.519
Pd 0.000 0.000 0.000
I 2.417 2.417 2.519
```

=====

Entry 6:
Below is a relaxed structure of HoEr2Zn3, with properties calculated at the PBE level.

Computed properties:
- final energy (eV/atom) = -3.269
- crystal system = trigonal

Geometry as extended XYZ:
```
12
Lattice="5.008 0.000 0.000 -2.504 4.337 0.000 0.000 0.000 12.294" Properties=species:S:1:pos:R:3 pbc="T T T"
Ho 0.000 2.892 2.049
Ho 2.504 1.446 10.245
Er 0.000 0.000 0.000
Er 0.000 0.000 6.147
Er 0.000 2.892 8.190
Er 2.504 1.446 4.103
Zn 0.000 0.000 3.080
Zn 0.000 0.000 9.214
Zn 0.000 2.892 5.126
Zn 0.000 2.892 11.269
Zn 2.504 1.446 1.025
Zn 2.504 1.446 7.167
```

=====

For each record above, in turn, the calculated V values are 215 226 142 507 118 267 Å³ per cell.